# 1
A geometry-optimized SmTlCdTe3 structure, computed with PBE.

Unit cell a=15.4896 b=4.5223 c=12.0619 alpha=90.00 beta=90.00 gamma=90.00
With the nearest neighbours (Å) after each atom.
Positions (direct):
1 Cd 0.4808 0.2500 0.1011  4 Te 2.84-2.95
2 Cd 0.9808 0.2500 0.3989  4 Te 2.84-2.95
3 Cd 0.0192 0.7500 0.6011  4 Te 2.84-2.95
4 Cd 0.5192 0.7500 0.8989  4 Te 2.84-2.95
5 Sm 0.9721 0.7500 0.1556  6 Te 3.08-3.29
6 Sm 0.4721 0.7500 0.3444  6 Te 3.08-3.29
7 Sm 0.5279 0.2500 0.6556  6 Te 3.08-3.29
8 Sm 0.0279 0.2500 0.8444  6 Te 3.08-3.29
9 Te 0.1018 0.2500 0.0813  3 Sm 3.08-3.15, 2 Tl 3.37
10 Te 0.5960 0.7500 0.1225  3 Cd 2.89-2.95
11 Te 0.8451 0.2500 0.2402  1 Cd 2.84, 2 Sm 3.17
12 Te 0.3451 0.2500 0.2598  1 Cd 2.84, 2 Sm 3.17
13 Te 0.0960 0.7500 0.3775  3 Cd 2.89-2.95
14 Te 0.6018 0.2500 0.4187  3 Sm 3.08-3.15, 2 Tl 3.37
15 Te 0.3982 0.7500 0.5813  3 Sm 3.08-3.15, 2 Tl 3.37
16 Te 0.9040 0.2500 0.6225  3 Cd 2.89-2.95
17 Te 0.6549 0.7500 0.7402  1 Cd 2.84, 2 Sm 3.17
18 Te 0.1549 0.7500 0.7598  1 Cd 2.84, 2 Sm 3.17
19 Te 0.4040 0.2500 0.8775  3 Cd 2.89-2.95
20 Te 0.8982 0.7500 0.9187  3 Sm 3.08-3.15, 2 Tl 3.37
21 Tl 0.2607 0.7500 0.0451  6 Te 3.37-3.76
22 Tl 0.7607 0.7500 0.4549  6 Te 3.37-3.76
23 Tl 0.2393 0.2500 0.5451  6 Te 3.37-3.76
24 Tl 0.7393 0.2500 0.9549  6 Te 3.37-3.76

Summary:
The calculation puts the total energy at -3.7241 eV per atom.

# 2
A geometry-optimized SmTlCdTe3 structure, computed with PBE.

Unit cell a=11.8423 b=4.5146 c=15.3819 alpha=90.00 beta=90.00 gamma=90.00
With the nearest neighbours (Å) after each atom.
Positions (direct):
1 Cd 0.7602 0.2500 0.2163  4 Te 2.82-2.88
2 Cd 0.2602 0.2500 0.2837  4 Te 2.82-2.88
3 Cd 0.7398 0.7500 0.7163  4 Te 2.82-2.88
4 Cd 0.2398 0.7500 0.7837  4 Te 2.82-2.88
5 Sm 0.5131 0.7500 0.2464  6 Te 3.17-3.23
6 Sm 0.0131 0.7500 0.2536  6 Te 3.17-3.23
7 Sm 0.9869 0.2500 0.7464  6 Te 3.17-3.23
8 Sm 0.4869 0.2500 0.7536  6 Te 3.17-3.23
9 Te 0.5677 0.2500 0.1083  1 Cd 2.82
10 Te 0.9592 0.2500 0.1147  1 Cd 2.83
11 Te 0.2616 0.7500 0.1674  2 Cd 2.88, 1 Sm 3.22
12 Te 0.7616 0.7500 0.3326  2 Cd 2.88, 1 Sm 3.22
13 Te 0.4592 0.2500 0.3853  1 Cd 2.83
14 Te 0.0677 0.2500 0.3917  1 Cd 2.82
15 Te 0.9323 0.7500 0.6083  1 Cd 2.82
16 Te 0.5408 0.7500 0.6147  1 Cd 2.83
17 Te 0.2384 0.2500 0.6674  2 Cd 2.88, 1 Sm 3.22
18 Te 0.7384 0.2500 0.8326  2 Cd 2.88, 1 Sm 3.22
19 Te 0.0408 0.7500 0.8853  1 Cd 2.83
20 Te 0.4323 0.7500 0.8917  1 Cd 2.82
21 Tl 0.7691 0.7500 0.0108  7 Te 3.57-3.75, 2 Cd 3.88
22 Tl 0.2691 0.7500 0.4892  7 Te 3.57-3.75, 2 Cd 3.88
23 Tl 0.7309 0.2500 0.5108  7 Te 3.57-3.75, 2 Cd 3.88
24 Tl 0.2309 0.2500 0.9892  7 Te 3.57-3.75, 2 Cd 3.88

Summary:
The calculation puts the total energy at -3.7319 eV per atom.

# 3
A geometry-optimized SmTlCdTe3 structure, computed with PBE.

Unit cell a=8.1277 b=8.1277 c=11.8335 alpha=90.00 beta=90.00 gamma=32.12
With the nearest neighbours (Å) after each atom.
Positions (direct):
1 Cd 0.4653 0.4653 0.2500  4 Te 2.83-2.89
2 Cd 0.5347 0.5347 0.7500  4 Te 2.83-2.89
3 Sm 0.0000 0.0000 0.0000  6 Te 3.17-3.22
4 Sm 0.0000 0.0000 0.5000  6 Te 3.17-3.22
5 Te 0.3624 0.3624 0.0535  1 Cd 2.83
6 Te 0.0814 0.0814 0.2500  2 Cd 2.89, 2 Sm 3.22
7 Te 0.3624 0.3624 0.4465  1 Cd 2.83
8 Te 0.6376 0.6376 0.5535  1 Cd 2.83
9 Te 0.9186 0.9186 0.7500  2 Cd 2.89, 2 Sm 3.22
10 Te 0.6376 0.6376 0.9465  1 Cd 2.83
11 Tl 0.7595 0.7595 0.2500  6 Te 3.58-3.61, 2 Cd 3.92
12 Tl 0.2405 0.2405 0.7500  6 Te 3.58-3.61, 2 Cd 3.92

Summary:
The calculation puts the total energy at -3.7325 eV per atom.

# 4
A geometry-optimized SmTlCdTe3 structure, computed with PBE.

Unit cell a=4.6468 b=12.8594 c=13.5249 alpha=90.00 beta=90.00 gamma=90.00
With the nearest neighbours (Å) after each atom.
Positions (direct):
1 Cd 0.7500 0.7538 0.2025  4 Te 2.83-2.87
2 Cd 0.7500 0.2538 0.2975  4 Te 2.83-2.87
3 Cd 0.2500 0.7462 0.7025  4 Te 2.83-2.87
4 Cd 0.2500 0.2462 0.7975  4 Te 2.83-2.87
5 Sm 0.2500 0.4738 0.1814  6 Te 3.18-3.40
6 Sm 0.2500 0.9738 0.3186  6 Te 3.18-3.40
7 Sm 0.7500 0.0262 0.6814  6 Te 3.18-3.40
8 Sm 0.7500 0.5262 0.8186  6 Te 3.18-3.40
9 Te 0.7500 0.5902 0.0628  1 Cd 2.83
10 Te 0.7500 0.9687 0.1541  1 Cd 2.84
11 Te 0.2500 0.2266 0.1758  2 Cd 2.87, 1 Sm 3.18
12 Te 0.2500 0.7266 0.3242  2 Cd 2.87, 1 Sm 3.18
13 Te 0.7500 0.4687 0.3459  1 Cd 2.84
14 Te 0.7500 0.0902 0.4372  1 Cd 2.83
15 Te 0.2500 0.9098 0.5628  1 Cd 2.83
16 Te 0.2500 0.5313 0.6541  1 Cd 2.84
17 Te 0.7500 0.2734 0.6758  2 Cd 2.87, 1 Sm 3.18
18 Te 0.7500 0.7734 0.8242  2 Cd 2.87, 1 Sm 3.18
19 Te 0.2500 0.0313 0.8459  1 Cd 2.84
20 Te 0.2500 0.4098 0.9372  1 Cd 2.83
21 Tl 0.2500 0.8234 0.0095  7 Te 3.47-3.86, 2 Cd 3.61
22 Tl 0.2500 0.3234 0.4905  7 Te 3.47-3.86, 2 Cd 3.61
23 Tl 0.7500 0.6766 0.5095  7 Te 3.47-3.86, 2 Cd 3.61
24 Tl 0.7500 0.1766 0.9905  7 Te 3.47-3.86, 2 Cd 3.61

Summary:
The calculation puts the total energy at -3.6862 eV per atom.

# 5
A geometry-optimized SmThCd structure, computed with PBE.

Unit cell a=5.1145 b=5.1145 c=5.1145 alpha=60.00 beta=60.00 gamma=60.00
With the nearest neighbours (Å) after each atom.
Positions (direct):
1 Cd 0.2500 0.2500 0.2500  4 Sm 3.13
2 Sm 0.0000 0.0000 0.0000  4 Th 3.13, 4 Cd 3.13
3 Th 0.7500 0.7500 0.7500  4 Sm 3.13

Summary:
Its energy relative to the elements is 0.66 eV/atom.

# 6
A geometry-optimized Sm2ThCd structure, computed with PBE.

Unit cell a=3.6378 b=3.6378 c=9.0070 alpha=90.00 beta=90.00 gamma=90.00
With the nearest neighbours (Å) after each atom.
Positions (direct):
1 Cd 0.5000 0.5000 0.0000  8 Sm 3.32, 4 Cd 3.64
2 Sm 0.0000 0.0000 0.2331  4 Cd 3.32, 4 Th 3.52, 4 Sm 3.64
3 Sm 0.0000 0.0000 0.7669  4 Cd 3.32, 4 Th 3.52, 4 Sm 3.64
4 Th 0.5000 0.5000 0.5000  8 Sm 3.52, 4 Th 3.64

Summary:
Its energy relative to the elements is -0.18 eV/atom.